Material: Tl2ReAu
Method: DFT, SCAN
State: single point on PBEsol structure

Summary:
* relative energy among the computed polymorphs: 55 meV per atom
* calculated total energy: -70.30 eV/atom
* formation energy from the elements: 365.0 kJ/mol of formula units
* mass density: 17.096 g cm⁻³

Geometry as CIF:
```
data_Tl2ReAu
_chemical_formula_sum 'Tl4 Re2 Au2'
_cell_length_a 4.020
_cell_length_b 4.020
_cell_length_c 9.522
_cell_angle_alpha 90.00
_cell_angle_beta 90.00
_cell_angle_gamma 90.00
_space_group_name_H-M_alt 'I -4 m 2'
_space_group_IT_number 119
_space_group_name_Hall 'I -4 -2'
loop_
_atom_site_label
_atom_site_type_symbol
_atom_site_fract_x
_atom_site_fract_y
_atom_site_fract_z
_atom_site_occupancy
Tl1 Tl 0.000 0.000 0.000 1
Tl2 Tl 0.000 0.500 0.250 1
Re1 Re 0.000 0.500 0.750 1
Au1 Au 0.000 0.000 0.500 1
```